TbInHgPd: optimized geometry, PBE-GGA.

- calculated formation energy (eV/atom) = -0.570
- space-group type = No. 216
- DOS(E_F) (states/eV/f.u.) = 1.4
- size of the total moment (μB per formula unit) = 0.00
- total energy (eV per atom) = -3.79

Lattice parameters (Å, degrees): 4.9623 4.9623 4.9623 60.00 60.00 60.00
Last column: nearest neighbours and their distance in Å.
Fractional positions:
Tb: 0.0000 0.0000 0.0000  4 Hg 3.04, 4 Pd 3.04
In: 0.5000 0.5000 0.5000  4 Hg 3.04, 4 Pd 3.04
Hg: 0.7500 0.7500 0.7500  4 Tb 3.04, 4 In 3.04
Pd: 0.2500 0.2500 0.2500  4 Tb 3.04, 4 In 3.04

NaDy2O4: optimized geometry, PBE-GGA.

- space-group type = No. 122
- formation energy from raw total energies (eV/atom) = -2.71
- DOS(E_F) (states/eV/f.u.) = 3.0
- size of the total moment (μB per formula unit) = 0.99
- total energy (eV per atom) = -7.05

Lattice parameters (Å, degrees): 6.0950 6.0950 6.0950 110.53 110.53 107.37
Last column: nearest neighbours and their distance in Å.
Fractional positions:
Na: 0.0000 0.0000 0.0000  8 O 2.39-2.66
Na: 0.7500 0.2500 0.5000  8 O 2.39-2.66
Dy: 0.2347 0.6250 0.1097  8 O 2.31-2.51
Dy: 0.3750 0.4847 0.6097  8 O 2.31-2.51
Dy: 0.5153 0.1250 0.8903  8 O 2.31-2.51
Dy: 0.8750 0.7653 0.3903  8 O 2.31-2.51
O: 0.1455 0.2377 0.7455  4 Dy 2.31-2.51, 1 Na 2.39, 1 O 2.48
O: 0.1500 0.7422 0.7545  4 Dy 2.31-2.51, 1 Na 2.39, 1 O 2.48
O: 0.2578 0.0123 0.4078  4 Dy 2.31-2.51, 1 Na 2.39, 1 O 2.48
O: 0.4922 0.4000 0.2545  4 Dy 2.31-2.51, 1 Na 2.39, 1 O 2.48
O: 0.6000 0.8545 0.0922  4 Dy 2.31-2.51, 1 Na 2.39, 1 O 2.48
O: 0.6045 0.8500 0.5922  4 Dy 2.31-2.51, 1 Na 2.39, 1 O 2.48
O: 0.7623 0.5078 0.9078  4 Dy 2.31-2.51, 1 Na 2.39, 1 O 2.48
O: 0.9877 0.3955 0.2455  4 Dy 2.31-2.51, 1 Na 2.39, 1 O 2.48

HfVPb3: optimized geometry, PBE-GGA.

- offset from the most stable computed form (kJ/mol of formula units) = 0
- calculated formation energy (eV/atom) = 0.860
- space-group type = No. 221
- DOS(E_F) (states/eV/f.u.) = 4.3
- size of the total moment (μB per formula unit) = 1.27
- total energy (eV per atom) = -5.18

Lattice parameters (Å, degrees): 5.2441 5.2441 5.2441 90.00 90.00 90.00
Last column: nearest neighbours and their distance in Å.
Fractional positions:
Hf: 0.0000 0.0000 0.0000  12 Pb 3.71
V: 0.5000 0.5000 0.5000  6 Pb 2.62
Pb: 0.0000 0.5000 0.5000  2 V 2.62
Pb: 0.5000 0.0000 0.5000  2 V 2.62
Pb: 0.5000 0.5000 0.0000  2 V 2.62